Density functional theory data (PBE) for TaVSn2 after structural relaxation.

a b c (Å): 6.7572 6.7572 6.7572
angles (deg): 90.00 90.00 90.00
Closest atoms and distances in Å follow each position.
Space group Fm-3m (No. 225)
Symmetry-distinct sites (fractional):
Ta 0.0000 0.0000 0.0000 [4 per cell]  8 Sn 2.93
V 0.0000 0.0000 0.5000 [4 per cell]  8 Sn 2.93
Sn 0.2500 0.2500 0.2500 [8 per cell]  4 Ta 2.93, 4 V 2.93

DFT formation energy: 0.3365 eV/atom
Density: 10.10 g/cm³